No. 1
Computed, not measured: a geometry-optimized Pr7Zn2Pd2 structure at the PBE level of DFT.

Cell: 6.9230 7.4207 6.9230 Å, 90.00 109.54 90.00°
Positions (direct):
Pr: 0.5000 0.2706 0.0000
Pd: 0.2929 0.0000 0.7071
Pr: 0.5000 0.7364 0.5000
Pr: 0.0000 0.0000 0.0000
Pr: 0.5000 0.7294 0.0000
Pr: 0.5000 0.2636 0.5000
Zn: 0.8392 0.5000 0.8392
Pr: 0.0000 0.2706 0.5000
Zn: 0.1608 0.5000 0.1608
Pr: 0.0000 0.7294 0.5000
Pd: 0.7071 0.0000 0.2929

Values from the calculation:
spin magnetization = 0.0000 μB/atom
density of states at the Fermi level = 11.97 states/eV per cell
calculated volume = 30.47 Å³ per atom
formation enthalpy at 0 K = -2.25 eV per formula unit

***

No. 2
Computed, not measured: a geometry-optimized KRbIn2Ag structure at the PBE level of DFT.

Cell: 5.5038 5.5038 6.2732 Å, 90.00 90.00 90.00°
Positions (direct):
Ag: 0.0000 0.0000 0.0000
Rb: 0.5000 0.5000 0.5000
K: 0.0000 0.0000 0.5000
In: 0.0000 0.5000 0.0000
In: 0.5000 0.0000 0.0000

Values from the calculation:
spin magnetization = 0.0000 μB/atom
density of states at the Fermi level = 3.05 states/eV per cell
calculated volume = 38.01 Å³ per atom
formation enthalpy at 0 K = 0.28 eV per formula unit

***

No. 3
Computed, not measured: a geometry-optimized ZrGaTcF2 structure at the PBE level of DFT.

Cell: 4.0403 5.4226 4.0403 Å, 90.00 90.00 90.00°
Positions (direct):
Ga: 0.5000 0.5000 0.5000
F: 0.0000 0.0000 0.5000
Zr: 0.0000 0.0000 0.0000
Tc: 0.0000 0.5000 0.0000
F: 0.5000 0.0000 0.0000

Values from the calculation:
spin magnetization = 0.0000 μB/atom
density of states at the Fermi level = 0.25 states/eV per cell
calculated volume = 17.70 Å³ per atom
raw formation energy = -1.32 eV per atom

***

No. 4
Computed, not measured: a geometry-optimized KCdIn2Pt structure at the PBE level of DFT.

Cell: 5.2394 5.2394 5.3849 Å, 90.00 90.00 90.00°
Positions (direct):
K: 0.5000 0.5000 0.5000
In: 0.5000 0.0000 0.0000
Pt: 0.0000 0.0000 0.0000
Cd: 0.0000 0.0000 0.5000
In: 0.0000 0.5000 0.0000

Values from the calculation:
energy above the most stable polymorph in this dataset = 0.000 eV per atom
spin magnetization = 0.0000 μB/atom
density of states at the Fermi level = 2.46 states/eV per cell
calculated volume = 29.56 Å³ per atom
formation enthalpy at 0 K = -1.26 eV per formula unit